No. 1
# CaZnCu3

Crystalline CaZnCu3 at its relaxed geometry (PBE, Alexandria).

a = 6.572 Å, b = 6.572 Å, c = 6.572 Å
α = 136.33°, β = 96.74°, γ = 99.17°
Fractional positions:
Ca (0.300, 0.050, 0.250)
Ca (0.700, 0.950, 0.750)
Zn (0.000, 0.500, 0.500)
Zn (0.500, 0.500, 0.000)
Cu (0.077, 0.327, 0.750)
Cu (0.235, 0.000, 0.735)
Cu (0.235, 0.500, 0.235)
Cu (0.765, 0.000, 0.265)
Cu (0.765, 0.500, 0.765)
Cu (0.923, 0.673, 0.250)

Computed properties:
- Space group: No. 74
- Calculated volume: 18.19 A^3/atom
- Polymorph energy (0 for the lowest one): 0 meV per atom



No. 2
# B2TeP

Crystalline B2TeP at its relaxed geometry (PBE, Alexandria).

a = 8.581 Å, b = 3.350 Å, c = 6.192 Å
α = 90.00°, β = 127.79°, γ = 90.00°
Fractional positions:
B (0.000, 0.000, 0.000)
B (0.121, 0.000, 0.863)
B (0.500, 0.500, 0.000)
B (0.621, 0.500, 0.863)
Te (0.449, 0.000, 0.558)
Te (0.949, 0.500, 0.558)
P (0.403, 0.000, 0.041)
P (0.903, 0.500, 0.041)

Computed properties:
- Space group: No. 8
- Calculated volume: 17.58 A^3/atom
- Polymorph energy (0 for the lowest one): 86 meV per atom
- E_form (uncorrected): 0.3259 eV/atom



No. 3
# BaSr2

Crystalline BaSr2 at its relaxed geometry (PBE, Alexandria).

a = 8.035 Å, b = 8.035 Å, c = 8.035 Å
α = 60.00°, β = 60.00°, γ = 60.00°
Fractional positions:
Ba (0.125, 0.125, 0.125)
Ba (0.875, 0.875, 0.875)
Sr (0.000, 0.500, 0.500)
Sr (0.500, 0.000, 0.500)
Sr (0.500, 0.500, 0.000)
Sr (0.500, 0.500, 0.500)

Computed properties:
- Space group: No. 227
- Calculated volume: 61.13 A^3/atom
- Polymorph energy (0 for the lowest one): 46 meV per atom



No. 4
# Ce3HoTm2As6

Crystalline Ce3HoTm2As6 at its relaxed geometry (PBE, Alexandria).

a = 7.189 Å, b = 7.189 Å, c = 7.168 Å
α = 99.63°, β = 99.63°, γ = 120.00°
Fractional positions:
Ce (0.000, 0.000, 0.000)
Ce (0.334, 0.666, 0.000)
Ce (0.666, 0.334, 0.000)
Ho (0.500, 0.500, 0.500)
Tm (0.167, 0.833, 0.500)
Tm (0.833, 0.167, 0.500)
As (0.084, 0.419, 0.257)
As (0.246, 0.246, 0.742)
As (0.419, 0.084, 0.257)
As (0.581, 0.916, 0.743)
As (0.754, 0.754, 0.258)
As (0.916, 0.581, 0.743)

Computed properties:
- Space group: No. 12
- Calculated volume: 25.19 A^3/atom
- Uncorrected energy: -6.402 eV per atom



No. 5
# La6Ir2SeBr3

Crystalline La6Ir2SeBr3 at its relaxed geometry (PBE, Alexandria).

a = 7.450 Å, b = 7.450 Å, c = 8.081 Å
α = 98.81°, β = 98.81°, γ = 120.00°
Fractional positions:
La (0.076, 0.431, 0.796)
La (0.212, 0.212, 0.202)
La (0.431, 0.076, 0.796)
La (0.569, 0.924, 0.204)
La (0.788, 0.788, 0.798)
La (0.924, 0.569, 0.204)
Ir (0.167, 0.833, 0.000)
Ir (0.833, 0.167, 0.000)
Se (0.500, 0.500, 0.000)
Br (0.000, 0.000, 0.500)
Br (0.340, 0.660, 0.500)
Br (0.660, 0.340, 0.500)

Computed properties:
- Space group: No. 12
- Calculated volume: 30.81 A^3/atom
- E_form (uncorrected): -1.3645 eV/atom



No. 6
# Pr4Pd3Pt

Crystalline Pr4Pd3Pt at its relaxed geometry (PBE, Alexandria).

a = 3.928 Å, b = 4.653 Å, c = 10.989 Å
α = 90.00°, β = 90.00°, γ = 90.00°
Fractional positions:
Pr (0.000, 0.000, 0.000)
Pr (0.000, 0.500, 0.271)
Pr (0.500, 0.000, 0.495)
Pr (0.500, 0.500, 0.770)
Pd (0.000, 0.000, 0.719)
Pd (0.000, 0.500, 0.550)
Pd (0.500, 0.500, 0.047)
Pt (0.500, 0.000, 0.220)

Computed properties:
- Space group: No. 25
- Calculated volume: 25.11 A^3/atom
- Uncorrected energy: -5.968 eV per atom



No. 7
# Mg15Tl2Bi2

Crystalline Mg15Tl2Bi2 at its relaxed geometry (PBE, Alexandria).

a = 8.860 Å, b = 8.860 Å, c = 8.860 Å
α = 60.76°, β = 60.76°, γ = 60.76°
Fractional positions:
Mg (0.000, 0.000, 0.500)
Mg (0.000, 0.323, 0.677)
Mg (0.000, 0.500, 0.000)
Mg (0.000, 0.677, 0.323)
Mg (0.207, 0.565, 0.565)
Mg (0.323, 0.000, 0.677)
Mg (0.323, 0.677, 0.000)
Mg (0.435, 0.435, 0.793)
Mg (0.435, 0.793, 0.435)
Mg (0.500, 0.000, 0.000)
Mg (0.565, 0.207, 0.565)
Mg (0.565, 0.565, 0.207)
Mg (0.677, 0.000, 0.323)
Mg (0.677, 0.323, 0.000)
Mg (0.793, 0.435, 0.435)
Tl (0.273, 0.273, 0.273)
Tl (0.727, 0.727, 0.727)
Bi (0.084, 0.084, 0.084)
Bi (0.916, 0.916, 0.916)

Computed properties:
- Space group: No. 166
- Calculated volume: 26.33 A^3/atom
- Uncorrected energy: -1.772 eV per atom



No. 8
# Tb5Pr3Sm2

Crystalline Tb5Pr3Sm2 at its relaxed geometry (PBE, Alexandria).

a = 9.844 Å, b = 9.844 Å, c = 9.383 Å
α = 108.38°, β = 108.38°, γ = 113.48°
Fractional positions:
Tb (0.024, 0.976, 0.750)
Tb (0.106, 0.375, 0.732)
Tb (0.221, 0.779, 0.750)
Tb (0.275, 0.725, 0.250)
Tb (0.375, 0.106, 0.232)
Tb (0.625, 0.894, 0.768)
Tb (0.725, 0.275, 0.750)
Tb (0.779, 0.221, 0.250)
Tb (0.894, 0.625, 0.268)
Tb (0.976, 0.024, 0.250)
Pr (0.026, 0.277, 0.047)
Pr (0.277, 0.026, 0.547)
Pr (0.482, 0.518, 0.250)
Pr (0.518, 0.482, 0.750)
Pr (0.723, 0.974, 0.453)
Pr (0.974, 0.723, 0.953)
Sm (0.226, 0.487, 0.456)
Sm (0.487, 0.226, 0.956)
Sm (0.513, 0.774, 0.044)
Sm (0.774, 0.513, 0.544)

Computed properties:
- Space group: No. 15
- Calculated volume: 34.11 A^3/atom
- Polymorph energy (0 for the lowest one): 0 meV per atom



For each record above, in turn, the calculated DOS at the Fermi energy values are 0.3688 0.2535 1.1215 1.3788 0.5843 0.5623 0.5965 1.7182 states/eV per atom.
For each record above, in turn, the calculated ρ values are 5.41 4.25 2.83 7.54 6.90 8.91 3.95 7.39 g/cm³.